(1)
The following is a DFT calculation (PBE-GGA) of crystalline In5AuSe8 at its relaxed geometry.

```
14
Lattice="0.000 5.759 5.759 5.759 0.000 5.759 5.759 5.759 0.000" Properties=species:S:1:pos:R:3 pbc="T T T"
In 0.000 0.000 0.000
In 4.389 4.389 4.389
In 7.128 7.128 4.389
In 7.128 4.389 7.128
In 4.389 7.128 7.128
Au 8.638 8.638 8.638
Se 1.551 1.551 1.551
Se 4.208 4.208 1.551
Se 4.208 1.551 4.208
Se 7.131 4.387 4.387
Se 1.551 4.208 4.208
Se 4.387 7.131 4.387
Se 4.387 4.387 7.131
Se 7.131 7.131 7.131
```

Computed properties:
total magnetization = 0.00 μB/cell
density = 6.1 Mg/m³
formation energy without anion corrections = -0.4466 eV per atom

(2)
The following is a DFT calculation (PBE-GGA) of crystalline AsP2Pd8 at its relaxed geometry.

```
11
Lattice="3.668 -5.348 0.000 3.668 5.348 0.000 -1.208 0.000 4.308" Properties=species:S:1:pos:R:3 pbc="T T T"
As 0.000 0.000 0.000
P 2.998 1.916 2.529
P 2.998 -1.916 2.529
Pd 0.689 1.419 2.985
Pd 3.626 2.814 0.402
Pd 0.689 -1.419 2.985
Pd 2.421 0.000 1.181
Pd 3.503 0.000 3.908
Pd 5.319 1.398 2.137
Pd 3.626 -2.814 0.402
Pd 5.319 -1.398 2.137
```

Computed properties:
total magnetization = 0.00 μB/cell
density = 9.7 Mg/m³
formation energy = -0.3993 eV per atom
excess energy over the best structure of this formula in the dataset = 0.15 eV/f.u.

(3)
The following is a DFT calculation (PBE-GGA) of crystalline Mn2Tl2VS4 at its relaxed geometry.

```
9
Lattice="6.430 -1.631 0.000 6.430 1.631 0.000 -1.726 0.000 8.307" Properties=species:S:1:pos:R:3 pbc="T T T"
Mn 1.396 0.000 3.966
Mn 9.739 0.000 4.341
Tl 3.049 0.000 8.244
Tl 8.086 0.000 0.063
V 5.567 0.000 4.153
S -0.215 0.000 2.510
S 3.361 0.000 2.888
S 7.773 0.000 5.419
S 11.349 0.000 5.796
```

Computed properties:
total magnetization = 1.95 μB/cell
density = 6.7 Mg/m³
formation energy without anion corrections = -0.5127 eV per atom

(4)
The following is a DFT calculation (PBE-GGA) of crystalline DyHo5Pb5 at its relaxed geometry.

```
11
Lattice="7.847 -3.123 0.000 7.847 3.123 0.000 -1.675 0.000 7.154" Properties=species:S:1:pos:R:3 pbc="T T T"
Dy 0.000 0.000 0.000
Ho -0.837 0.000 3.577
Ho 4.989 0.000 1.191
Ho 4.234 0.000 4.755
Ho 9.785 0.000 2.399
Ho 9.030 0.000 5.963
Pb 2.057 0.000 2.432
Pb 1.262 0.000 5.911
Pb 7.847 0.000 0.000
Pb 12.757 0.000 1.243
Pb 11.962 0.000 4.722
```

Computed properties:
total magnetization = 0.01 μB/cell
density = 9.6 Mg/m³
formation energy = -0.2538 eV per atom

(5)
The following is a DFT calculation (PBE-GGA) of crystalline BaInSe2 at its relaxed geometry.

```
16
Lattice="8.165 0.000 0.000 0.000 9.253 0.000 -3.062 0.000 7.624" Properties=species:S:1:pos:R:3 pbc="T T T"
Ba 0.455 1.198 3.751
Ba -1.076 3.429 7.563
Ba 6.180 5.824 0.061
Ba 4.649 8.055 3.873
In 0.438 6.313 4.859
In 1.969 7.566 1.047
In 3.134 1.687 6.577
In 4.665 2.940 2.765
Se -2.040 6.396 6.338
Se -0.509 7.483 2.525
Se 3.078 0.877 1.767
Se 1.547 3.749 5.579
Se 3.556 5.504 2.046
Se 2.025 8.376 5.858
Se 5.612 1.770 5.099
Se 7.143 2.857 1.287
```

Computed properties:
total magnetization = 0.00 μB/cell
density = 4.7 Mg/m³
formation energy without anion corrections = -1.1989 eV per atom

(6)
The following is a DFT calculation (PBE-GGA) of crystalline MgSc2Cl at its relaxed geometry.

```
4
Lattice="-1.621 2.869 4.975 1.621 -2.869 4.975 1.621 2.869 -4.975" Properties=species:S:1:pos:R:3 pbc="T T T"
Mg 0.000 0.000 0.000
Sc 1.621 0.000 2.871
Sc 0.000 2.869 2.103
Cl 0.000 0.000 4.975
```

Computed properties:
total magnetization = 0.00 μB/cell
density = 2.7 Mg/m³
formation energy without anion corrections = -0.3861 eV per atom
excess energy over the best structure of this formula in the dataset = 0.89 eV/f.u.

(7)
The following is a DFT calculation (PBE-GGA) of crystalline Hf2CuSnH at its relaxed geometry.

```
5
Lattice="4.300 0.000 0.000 0.000 4.300 0.000 0.000 0.000 4.252" Properties=species:S:1:pos:R:3 pbc="T T T"
Hf 0.000 2.150 0.000
Hf 2.150 0.000 0.000
Cu 0.000 0.000 2.126
Sn 2.150 2.150 2.126
H 0.000 0.000 0.000
```

Computed properties:
total magnetization = 0.00 μB/cell
E_tot = -6.501 eV/atom
density = 11.4 Mg/m³

(8)
The following is a DFT calculation (PBE-GGA) of crystalline NpGaBiAu at its relaxed geometry.

```
4
Lattice="0.000 3.626 3.626 3.626 0.000 3.626 3.626 3.626 0.000" Properties=species:S:1:pos:R:3 pbc="T T T"
Np 0.000 0.000 0.000
Ga 5.439 5.439 5.439
Bi 3.626 3.626 3.626
Au 1.813 1.813 1.813
```

Computed properties:
total magnetization = 4.25 μB/cell
density = 12.4 Mg/m³
formation energy = 0.0045 eV per atom

(9)
The following is a DFT calculation (PBE-GGA) of crystalline LuSb2 at its relaxed geometry.

```
3
Lattice="1.677 -3.068 0.000 1.677 3.068 0.000 0.000 0.000 8.544" Properties=species:S:1:pos:R:3 pbc="T T T"
Lu 0.000 0.000 0.000
Sb 0.839 1.534 2.507
Sb 0.839 -1.534 6.036
```

Computed properties:
total magnetization = 0.00 μB/cell
density = 7.9 Mg/m³
formation energy without anion corrections = -0.2019 eV per atom

(10)
The following is a DFT calculation (PBE-GGA) of crystalline NdY2Cd2In2 at its relaxed geometry.

```
7
Lattice="2.478 1.431 9.148 -2.478 1.431 9.148 0.000 -2.862 9.148" Properties=species:S:1:pos:R:3 pbc="T T T"
Nd 0.000 0.000 0.000
Y 0.000 0.000 3.532
Y 0.000 0.000 23.912
Cd 0.000 0.000 10.980
Cd 0.000 0.000 16.464
In 0.000 0.000 7.050
In 0.000 0.000 20.394
```

Computed properties:
total magnetization = 0.00 μB/cell
density = 6.6 Mg/m³
formation energy = -0.2905 eV per atom

(11)
The following is a DFT calculation (PBE-GGA) of crystalline HoTmGaPd at its relaxed geometry.

```
4
Lattice="4.472 0.000 0.000 0.000 1.844 5.451 0.000 -1.844 5.451" Properties=species:S:1:pos:R:3 pbc="T T T"
Ho 0.000 0.000 0.000
Tm 2.236 0.000 3.108
Ga 0.000 0.000 7.881
Pd 2.236 0.000 6.195
```

Computed properties:
total magnetization = 0.00 μB/cell
density = 9.4 Mg/m³
formation energy = -0.7606 eV per atom
excess energy over the best structure of this formula in the dataset = 0.00 eV/f.u.

(12)
The following is a DFT calculation (PBE-GGA) of crystalline CaZnSiSF at its relaxed geometry.

```
5
Lattice="3.907 -1.826 0.000 3.907 1.826 0.000 -3.353 0.000 7.247" Properties=species:S:1:pos:R:3 pbc="T T T"
Ca 0.000 0.000 0.000
Zn -0.389 0.000 3.099
Si 5.210 0.000 2.318
S 4.302 0.000 4.383
F -0.837 0.000 7.021
```

Computed properties:
total magnetization = 0.00 μB/cell
density = 3.0 Mg/m³
formation energy without anion corrections = -1.2969 eV per atom
excess energy over the best structure of this formula in the dataset = 0.55 eV/f.u.

(13)
The following is a DFT calculation (PBE-GGA) of crystalline Li2SbI at its relaxed geometry.

```
4
Lattice="0.000 3.660 3.660 3.660 0.000 3.660 3.660 3.660 0.000" Properties=species:S:1:pos:R:3 pbc="T T T"
Li 1.830 1.830 1.830
Li 5.490 5.490 5.490
Sb 0.000 0.000 0.000
I 3.660 3.660 3.660
```

Computed properties:
total magnetization = 0.00 μB/cell
density = 4.4 Mg/m³
formation energy without anion corrections = -0.2724 eV per atom
excess energy over the best structure of this formula in the dataset = 0.93 eV/f.u.